Crystalline NpCdGa at its relaxed geometry. Source: Alexandria, functional PBE.

Summary:
As for the total energy: -33.178 eV for the cell shown.

Unit cell a=3.0804 b=3.0804 c=13.6818 alpha=90.00 beta=90.00 gamma=90.00
Space group I4mm (No. 107)
Asymmetric unit:
Np 0.0000 0.0000 0.0000 [2 per cell]
Cd 0.0000 0.0000 0.6857 [2 per cell]
Ga 0.0000 0.0000 0.3392 [2 per cell]